## w
Entry from Alexandria via LeMat-Bulk: an optimized crystal structure of AlWBr (GGA-PBEsol).

Values from the calculation:
* spin magnetization: 0.00 μB per formula unit
* mass density: 8.96 g/cm³
* space group: I4mm

Cell and atoms, written as extended XYZ:
```
3
Lattice="-1.3672 -1.9458 1.7845 2.0979 0.4194 2.0646 -3.6529 5.2930 0.4958" Properties=species:S:1:pos:R:3 pbc="T T T"
Al -2.7562 3.5381 4.2228
W -2.1925 3.0211 1.6142
Br -0.8955 0.9742 2.8529
```

***

## x
Entry from Alexandria via LeMat-Bulk: an optimized crystal structure of AlWBr (GGA-PBEsol).

Values from the calculation:
* spin magnetization: 0.00 μB per formula unit
* mass density: 7.95 g/cm³
* space group: F-43m

Cell and atoms, written as extended XYZ:
```
3
Lattice="-3.4243 -1.8507 -2.0790 0.3376 -1.0999 -4.2602 0.1671 -4.2503 -1.1749" Properties=species:S:1:pos:R:3 pbc="T T T"
W -1.4598 -3.6004 -3.7571
Br 0.0000 0.0000 0.0000
Al -0.7299 -1.8002 -1.8785
```

***

Which of them is the most stable? Correct choice: w.

***

## w
Entry from Alexandria via LeMat-Bulk: an optimized crystal structure of AlWBr2 (GGA-PBEsol).

Values from the calculation:
* spin magnetization: 1.10 μB per formula unit
* mass density: 8.29 g/cm³
* space group: I-4m2

Cell and atoms, written as extended XYZ:
```
4
Lattice="4.2169 0.0000 0.0000 0.0000 4.2169 0.0000 -2.1085 -2.1085 4.1746" Properties=species:S:1:pos:R:3 pbc="T T T"
Br 0.0000 0.0000 0.0000
Br 2.1085 0.0000 2.0873
W 2.1085 2.1085 0.0000
Al 0.0000 2.1085 2.0873
```

***

## x
Entry from Alexandria via LeMat-Bulk: an optimized crystal structure of AlWBr2 (GGA-PBEsol).

Values from the calculation:
* spin magnetization: 0.16 μB per formula unit
* mass density: 6.22 g/cm³
* space group: I-42d

Cell and atoms, written as extended XYZ:
```
8
Lattice="5.1937 0.0000 0.0000 2.5969 6.1735 0.0000 2.5969 0.0000 6.1735" Properties=species:S:1:pos:R:3 pbc="T T T"
W 0.0000 0.0000 0.0000
W 6.4921 3.0867 3.0867
Br 7.1414 5.3613 2.2745
Br 5.8429 2.2745 0.8122
Br 5.8429 3.8989 5.3613
Br 7.1414 0.8122 3.8989
Al 3.8953 3.0867 3.0867
Al 2.5969 0.0000 0.0000
```

***

Which of them is the most stable? Correct choice: x.

***

## w
Entry from Alexandria via LeMat-Bulk: an optimized crystal structure of YAlBr2 (GGA-PBEsol).

Values from the calculation:
* spin magnetization: 0.01 μB per formula unit
* mass density: 3.13 g/cm³
* space group: I-42d

Cell and atoms, written as extended XYZ:
```
8
Lattice="7.0494 0.0000 0.0000 -3.5247 6.8644 0.1647 0.0000 3.4725 6.1348" Properties=species:S:1:pos:R:3 pbc="T T T"
Y 3.5247 6.0366 4.6835
Y 0.0000 0.0000 0.0000
Al 3.5247 1.7363 3.0674
Al 0.0000 4.3003 1.6161
Br 1.7624 2.0046 0.5509
Br 2.0578 6.4505 2.4241
Br 5.2871 4.0320 4.1326
Br -2.0578 8.1867 5.4915
```

***

## x
Entry from Alexandria via LeMat-Bulk: an optimized crystal structure of YAlBr2 (GGA-PBEsol).

Values from the calculation:
* spin magnetization: 0.00 μB per formula unit
* mass density: 4.84 g/cm³
* space group: I-4m2

Cell and atoms, written as extended XYZ:
```
4
Lattice="-0.1462 3.5606 -2.0405 -3.8252 -0.8578 -1.2228 -0.0448 1.1854 6.2037" Properties=species:S:1:pos:R:3 pbc="T T T"
Y -1.9857 1.3514 -1.6317
Al -2.9278 0.8395 1.6746
Br 0.0000 0.0000 0.0000
Br -1.0883 3.0487 1.2657
```

***

Which of them is the most stable? Correct choice: x.

***

## w
Entry from Alexandria via LeMat-Bulk: an optimized crystal structure of YAlBr2 (GGA-PBEsol).

Values from the calculation:
* spin magnetization: 0.50 μB per formula unit
* mass density: 4.95 g/cm³
* space group: Fm-3m

Cell and atoms, written as extended XYZ:
```
4
Lattice="-3.9344 2.7922 1.5834 -3.4675 1.6226 -3.3356 -4.6737 -1.9846 0.0282" Properties=species:S:1:pos:R:3 pbc="T T T"
Al 0.0000 0.0000 0.0000
Br -9.0567 1.8226 -1.2930
Br -3.0189 0.6075 -0.4310
Y -6.0378 1.2151 -0.8620
```

***

## x
Entry from Alexandria via LeMat-Bulk: an optimized crystal structure of YAlBr2 (GGA-PBEsol).

Values from the calculation:
* spin magnetization: 0.00 μB per formula unit
* mass density: 4.81 g/cm³
* space group: Cmmm

Cell and atoms, written as extended XYZ:
```
4
Lattice="3.5003 0.0000 0.0000 0.0000 5.2928 0.0755 0.0000 -1.3333 5.1227" Properties=species:S:1:pos:R:3 pbc="T T T"
Y 1.7501 0.0000 0.0000
Br 0.0000 -0.6667 2.5613
Br 0.0000 2.6464 0.0377
Al 1.7501 1.9797 2.5991
```

***

Which of them is the most stable? Correct choice: w.

***

## w
Entry from Alexandria via LeMat-Bulk: an optimized crystal structure of AlZnBr2 (GGA-PBEsol).

Values from the calculation:
* spin magnetization: 0.00 μB per formula unit
* mass density: 4.58 g/cm³
* space group: F-43m

Cell and atoms, written as extended XYZ:
```
4
Lattice="5.0574 0.0000 0.0000 2.5287 4.3798 0.0000 2.5287 1.4599 4.1293" Properties=species:S:1:pos:R:3 pbc="T T T"
Br 0.0000 0.0000 0.0000
Br 7.5861 4.3798 3.0970
Zn 2.5287 1.4599 1.0323
Al 5.0574 2.9199 2.0647
```

***

## x
Entry from Alexandria via LeMat-Bulk: an optimized crystal structure of AlZnBr2 (GGA-PBEsol).

Values from the calculation:
* spin magnetization: 0.00 μB per formula unit
* mass density: 4.65 g/cm³
* space group: P4/mmm

Cell and atoms, written as extended XYZ:
```
4
Lattice="3.5862 0.0000 0.0000 0.0000 3.5862 0.0000 0.0000 0.0000 6.9983" Properties=species:S:1:pos:R:3 pbc="T T T"
Al 1.7931 1.7931 3.4992
Zn 1.7931 1.7931 0.0000
Br 0.0000 0.0000 5.2908
Br 0.0000 0.0000 1.7075
```

***

Which of them is the most stable? Correct choice: x.

***

## w
Entry from Alexandria via LeMat-Bulk: an optimized crystal structure of ZrAl2Br (GGA-PBEsol).

Values from the calculation:
* spin magnetization: 0.00 μB per formula unit
* mass density: 4.68 g/cm³
* space group: Pmmm

Cell and atoms, written as extended XYZ:
```
4
Lattice="3.2957 0.0000 0.0000 0.0000 4.5935 0.0000 0.0000 0.0000 5.2719" Properties=species:S:1:pos:R:3 pbc="T T T"
Al 0.0000 0.0000 1.3465
Al 0.0000 0.0000 3.9254
Zr 1.6478 2.2967 2.6360
Br 1.6478 2.2967 0.0000
```

***

## x
Entry from Alexandria via LeMat-Bulk: an optimized crystal structure of ZrAl2Br (GGA-PBEsol).

Values from the calculation:
* spin magnetization: 0.00 μB per formula unit
* mass density: 4.92 g/cm³
* space group: Immm

Cell and atoms, written as extended XYZ:
```
4
Lattice="-2.3077 -1.1317 2.0678 3.0225 -2.9202 1.7749 0.9941 5.4959 1.4860" Properties=species:S:1:pos:R:3 pbc="T T T"
Zr -1.1538 -0.5658 1.0339
Al 0.6557 1.6835 1.6531
Al 1.0533 -0.2394 3.6757
Br 1.5113 -1.4601 0.8875
```

***

## y
Entry from Alexandria via LeMat-Bulk: an optimized crystal structure of ZrAl2Br (GGA-PBEsol).

Values from the calculation:
* spin magnetization: 0.00 μB per formula unit
* mass density: 4.68 g/cm³
* space group: R-3m

Cell and atoms, written as extended XYZ:
```
4
Lattice="3.2481 0.0000 0.0000 1.6241 2.8130 0.0000 1.6241 0.9377 8.7346" Properties=species:S:1:pos:R:3 pbc="T T T"
Al 4.8722 2.8130 6.5277
Al 1.6241 0.9377 2.2069
Zr 0.0000 0.0000 0.0000
Br 3.2481 1.8753 4.3673
```

***

Which of them is the most stable? Correct choice: y.